Entry from the Alexandria database: a relaxed structure of Cs3Ag2GeI9 (PBE).

Results
- Formation energy (no corrections): -733 meV/atom

```
data_Cs3Ag2GeI9
_chemical_formula_sum 'Cs3 Ag2 Ge1 I9'
_cell_length_a 8.3258
_cell_length_b 8.3258
_cell_length_c 10.2969
_cell_angle_alpha 90.00
_cell_angle_beta 90.00
_cell_angle_gamma 120.00
_space_group_name_H-M_alt 'P -3 m 1'
_space_group_IT_number 164
_space_group_name_Hall '-P 3 2"'
loop_
_atom_site_label
_atom_site_type_symbol
_atom_site_fract_x
_atom_site_fract_y
_atom_site_fract_z
Cs1 Cs 0.0000 0.0000 0.0000
Cs2 Cs 0.3333 0.6667 0.6693
Ag1 Ag 0.3333 0.6667 0.1634
Ge1 Ge 0.0000 0.0000 0.5000
I1 I 0.0000 0.5000 0.0000
I2 I 0.1655 0.3310 0.3368
```